A geometry-optimized FeSbIO2 structure, computed with PBE+U.

Total energy ... -4.19 eV per atom
Relative energy among the computed polymorphs ... 1.123 eV per atom

Cell and atoms, written as POSCAR:
```
FeSbIO2
1.0
4.1821 0.0000 0.0000
0.0000 4.1821 0.0000
0.0000 0.0000 5.3538
Fe Sb I O
1 1 1 2
Cartesian
0.0000 0.0000 0.0000 Fe
2.0910 2.0910 2.6769 Sb
0.0000 0.0000 2.6769 I
0.0000 2.0910 0.0000 O
2.0910 0.0000 0.0000 O
```